First-principles (PBE) data for a geometry-optimized LiPrMnH6 structure, as listed in Alexandria via LeMat-Bulk.

a b c (Å): 4.4847 4.4847 4.4853
angles (deg): 90.00 90.00 60.00
Element x y z (fractional)
H: 0.4880 0.0239 0.2456
H: 0.0239 0.4880 0.7544
H: 0.4880 0.0239 0.7544
H: 0.0239 0.4881 0.2456
H: 0.4880 0.4881 0.7544
H: 0.4880 0.4880 0.2456
Pr: 0.0000 0.0000 0.0000
Mn: 0.3333 0.3333 0.5000
Li: 0.6667 0.6667 0.5000

- space group = P-6m2, No. 187
- raw total energy (Ha/atom) = -0.15803
- spin magnetization (μB/cell) = 2.20

First-principles (PBE) data for a geometry-optimized Ca2NdO3 structure, as listed in Alexandria via LeMat-Bulk.

a b c (Å): 4.9184 6.8903 6.0582
angles (deg): 106.56 113.95 90.00
Element x y z (fractional)
O: 0.1731 0.5864 0.3463
O: 0.5000 0.7500 0.0000
O: 0.5000 0.2500 0.0000
O: 0.1731 0.0864 0.3463
O: 0.8269 0.4136 0.6537
O: 0.8269 0.9136 0.6537
Ca: 0.3317 0.9158 0.6634
Ca: 0.6683 0.5842 0.3366
Ca: 0.6683 0.0842 0.3366
Ca: 0.3317 0.4158 0.6634
Nd: 0.0000 0.7500 0.0000
Nd: 0.0000 0.2500 0.0000

- space group = Immm, No. 71
- raw total energy (Ha/atom) = -0.24856
- spin magnetization (μB/cell) = 0.00

First-principles (PBE) data for a geometry-optimized RbSe3S structure, as listed in Alexandria via LeMat-Bulk.

a b c (Å): 5.0964 5.0964 5.0964
angles (deg): 90.00 90.00 90.00
Element x y z (fractional)
Rb: 0.5000 0.5000 0.5000
Se: 0.0000 0.0000 0.5000
Se: 0.0000 0.5000 0.0000
Se: 0.5000 0.0000 0.0000
S: 0.0000 0.0000 0.0000

- space group = Pm-3m, No. 221
- raw total energy (Ha/atom) = -0.11493
- spin magnetization (μB/cell) = 0.00

First-principles (PBE) data for a geometry-optimized Li2InIr structure, as listed in Alexandria via LeMat-Bulk.

a b c (Å): 2.7973 2.7973 9.1909
angles (deg): 90.00 90.00 111.90
Element x y z (fractional)
Li: 0.0000 0.0000 0.5327
Li: 0.0000 0.0000 0.9672
Ir: 0.5000 0.5000 0.7500
In: 0.5000 0.5000 0.2500

- space group = Cmmm, No. 65
- calculated formation energy (eV per formula unit) = -0.06
- raw total energy (Ha/atom) = -0.14229
- spin magnetization (μB/cell) = 0.00